Record 1
Below is crystalline Ba2AcIrO8 at its relaxed geometry, with properties calculated at the PBE level.

It has space group P-3m1 (No. 164), with a = 5.8421 Å, b = 5.8421 Å, c = 6.7526 Å, α = 90.00°, β = 90.00° and γ = 120.00°. Symmetry generates all atoms from Ba at (0.3333, 0.6667, 0.3651), Ac at (0.0000, 0.0000, 0.0000), Ir at (0.0000, 0.0000, 0.5000), O at (0.1507, 0.3014, 0.6751) and O at (0.3333, 0.6667, 0.0142).

The calculation puts the volume at 199.6 Å³/cell. The value obtained for the uncorrected formation energy is -1.547 eV per atom.

=====

Record 2
Below is crystalline BaAcIrO6 at its relaxed geometry, with properties calculated at the PBE level.

It has space group P-31c (No. 163), with a = 5.9812 Å, b = 5.9812 Å, c = 10.6187 Å, α = 90.00°, β = 90.00° and γ = 120.00°. Symmetry generates all atoms from Ba at (0.0000, 0.0000, 0.0000), Ac at (0.3333, 0.6667, 0.2500), Ir at (0.3333, 0.6667, 0.7500) and O at (0.0650, 0.4023, 0.6470).

The calculation puts the volume at 329.0 Å³/cell. The value obtained for the uncorrected formation energy is -1.847 eV per atom.

=====

Record 3
Below is crystalline Ba2AcIr3O12 at its relaxed geometry, with properties calculated at the PBE level.

It has space group R-3m (No. 166, hexagonal axes), with a = 7.3690 Å, b = 7.3690 Å, c = 16.7877 Å, α = 90.00°, β = 90.00° and γ = 120.00°. Symmetry generates all atoms from Ba at (0.0000, 0.0000, 0.1098), Ac at (0.0000, 0.0000, 0.5000), Ir at (0.0000, 0.5000, 0.0000), O at (0.0568, 0.5284, 0.8895) and O at (0.0700, 0.5350, 0.3058).

The calculation puts the volume at 789.5 Å³/cell. The value obtained for the uncorrected formation energy is -1.565 eV per atom.

=====

Record 4
Below is crystalline BaAcIr2O8 at its relaxed geometry, with properties calculated at the PBE level.

It has space group P-3m1 (No. 164), with a = 6.0317 Å, b = 6.0317 Å, c = 8.0193 Å, α = 90.00°, β = 90.00° and γ = 120.00°. Symmetry generates all atoms from Ba at (0.0000, 0.0000, 0.0000), Ac at (0.0000, 0.0000, 0.5000), Ir at (0.3333, 0.6667, 0.8001), O at (0.1666, 0.3331, 0.7171) and O at (0.3333, 0.6667, 0.0260).

The calculation puts the volume at 252.7 Å³/cell. The value obtained for the uncorrected formation energy is -1.360 eV per atom.

=====

Record 5
Below is crystalline Ba2AcIrO6 at its relaxed geometry, with properties calculated at the PBE level.

It has space group Pmmn (No. 59, origin choice 2), with a = 6.197 Å, b = 8.784 Å, c = 6.223 Å, α = 90.00°, β = 90.00° and γ = 90.00°. Symmetry generates all atoms from Ba at (0.250, 0.001, 0.248), Ac at (0.250, 0.250, 0.748), Ir at (0.250, 0.750, 0.751), O at (0.023, 0.750, 0.526), O at (0.024, 0.750, 0.977) and O at (0.250, 0.524, 0.752).

The calculation puts the volume at 338.8 Å³/cell. The value obtained for the uncorrected formation energy is -2.213 eV per atom.

=====

Record 6
Below is crystalline BaAc2IrO8 at its relaxed geometry, with properties calculated at the PBE level.

It has space group P2/m (No. 10), with a = 4.564 Å, b = 7.638 Å, c = 5.710 Å, α = 90.00°, β = 92.86° and γ = 90.00°. Symmetry generates all atoms from Ba at (0.000, 0.000, 0.000), Ac at (0.500, 0.248, 0.500), Ir at (0.000, 0.500, 0.000), O at (0.039, 0.318, 0.761), O at (0.413, 0.500, 0.101) and O at (0.499, 0.000, 0.265).

The calculation puts the volume at 198.8 Å³/cell. The value obtained for the uncorrected formation energy is -2.014 eV per atom.

=====

Record 7
Below is crystalline BaAcIrPd at its relaxed geometry, with properties calculated at the PBE level.

It has space group F-43m (No. 216), with a = 7.563 Å, b = 7.563 Å, c = 7.563 Å, α = 90.00°, β = 90.00° and γ = 90.00°. Symmetry generates all atoms from Ba at (0.000, 0.000, 0.000), Ac at (0.000, 0.000, 0.500), Ir at (0.250, 0.250, 0.250) and Pd at (0.250, 0.250, 0.750).

The calculation puts the total energy at -5.38 eV per atom. The calculation puts the volume at 432.6 Å³/cell.

=====

Record 8
Below is crystalline BaSrAcIr at its relaxed geometry, with properties calculated at the PBE level.

It has space group R3m (No. 160, hexagonal axes), with a = 4.4193 Å, b = 4.4193 Å, c = 32.0732 Å, α = 90.00°, β = 90.00° and γ = 120.00°. Symmetry generates all atoms from Ba at (0.0000, 0.0000, 0.0000), Sr at (0.0000, 0.0000, 0.2138), Ac at (0.0000, 0.0000, 0.7687) and Ir at (0.0000, 0.0000, 0.3914).

The calculation puts the total energy at -4.41 eV per atom. The calculation puts the volume at 542.4 Å³/cell.

=====

Record 9
Below is crystalline BaAcZnIr at its relaxed geometry, with properties calculated at the PBE level.

It has space group Cm (No. 8), with a = 7.751 Å, b = 4.476 Å, c = 8.457 Å, α = 90.00°, β = 107.83° and γ = 90.00°. Symmetry generates all atoms from Ba at (0.000, 0.000, 0.000), Ac at (0.169, 0.000, 0.505), Zn at (0.421, 0.000, 0.262) and Ir at (0.266, 0.500, 0.296).

The calculation puts the volume at 279.4 Å³/cell. The energy above the most stable polymorph in this dataset is 0 meV per atom.

=====

Record 10
Below is crystalline BaAcZnIr at its relaxed geometry, with properties calculated at the PBE level.

It has space group F-43m (No. 216), with a = 7.658 Å, b = 7.658 Å, c = 7.658 Å, α = 90.00°, β = 90.00° and γ = 90.00°. Symmetry generates all atoms from Ba at (0.000, 0.000, 0.000), Ac at (0.000, 0.000, 0.500), Zn at (0.250, 0.250, 0.250) and Ir at (0.250, 0.250, 0.750).

The calculation puts the volume at 449.1 Å³/cell. The energy above the most stable polymorph in this dataset is 241 meV per atom.

=====

Record 11
Below is crystalline KBaAc at its relaxed geometry, with properties calculated at the PBE level.

It has space group P3m1 (No. 156), with a = 4.1883 Å, b = 4.1883 Å, c = 11.0514 Å, α = 90.00°, β = 90.00° and γ = 120.00°. Symmetry generates all atoms from K at (0.0000, 0.0000, 0.0000), Ba at (0.3333, 0.6667, 0.6384) and Ac at (0.6667, 0.3333, 0.3359).

The calculation puts the volume at 167.9 Å³/cell. The energy above the most stable polymorph in this dataset is 0 meV per atom.

=====

Record 12
Below is crystalline KBaAc at its relaxed geometry, with properties calculated at the PBE level.

It has space group Fmmm (No. 69), with a = 7.484 Å, b = 13.873 Å, c = 14.394 Å, α = 90.00°, β = 90.00° and γ = 90.00°. Symmetry generates all atoms from K at (0.000, 0.151, 0.000), Ba at (0.000, 0.000, 0.337) and Ac at (0.250, 0.250, 0.250).

The calculation puts the volume at 1494.3 Å³/cell. The energy above the most stable polymorph in this dataset is 160 meV per atom.

=====

Record 13
Below is crystalline KBaAc4 at its relaxed geometry, with properties calculated at the PBE level.

It has space group F-43m (No. 216), with a = 10.925 Å, b = 10.925 Å, c = 10.925 Å, α = 90.00°, β = 90.00° and γ = 90.00°. Symmetry generates all atoms from K at (0.000, 0.000, 0.000), Ba at (0.250, 0.250, 0.750) and Ac at (0.124, 0.124, 0.376).

The calculation puts the total energy at -2.95 eV per atom. The calculation puts the volume at 1303.9 Å³/cell.

=====

Record 14
Below is crystalline KBaAc at its relaxed geometry, with properties calculated at the PBE level.

It has space group I4mm (No. 107), with a = 4.090 Å, b = 4.090 Å, c = 20.402 Å, α = 90.00°, β = 90.00° and γ = 90.00°. Symmetry generates all atoms from K at (0.000, 0.000, 0.000), Ba at (0.000, 0.000, 0.684) and Ac at (0.000, 0.000, 0.333).

The calculation puts the volume at 341.3 Å³/cell. The energy above the most stable polymorph in this dataset is 33 meV per atom.

=====

Record 15
Below is crystalline K3BaAc2O6 at its relaxed geometry, with properties calculated at the PBE level.

It has space group C2/m (No. 12), with a = 6.737 Å, b = 11.671 Å, c = 6.780 Å, α = 90.00°, β = 109.44° and γ = 90.00°. Symmetry generates all atoms from K at (0.000, 0.000, 0.000), K at (0.000, 0.333, 0.000), Ba at (0.000, 0.500, 0.500), Ac at (0.000, 0.167, 0.500), O at (0.210, 0.000, 0.704) and O at (0.247, 0.321, 0.702).

The calculation puts the volume at 502.7 Å³/cell. The value obtained for the uncorrected formation energy is -2.264 eV per atom.

=====

Record 16
Below is crystalline K4BaAc3O8 at its relaxed geometry, with properties calculated at the PBE level.

It has space group R-3m (No. 166, hexagonal axes), with a = 7.7711 Å, b = 7.7711 Å, c = 19.1091 Å, α = 90.00°, β = 90.00° and γ = 120.00°. Symmetry generates all atoms from K at (0.0000, 0.0000, 0.0000), K at (0.0000, 0.5000, 0.0000), Ba at (0.0000, 0.0000, 0.5000), Ac at (0.0000, 0.5000, 0.5000), O at (0.0000, 0.0000, 0.2336) and O at (0.0200, 0.5100, 0.7669).

The calculation puts the volume at 999.4 Å³/cell. The value obtained for the uncorrected formation energy is -2.332 eV per atom.

=====

Record 17
Below is crystalline K2BaAcO4 at its relaxed geometry, with properties calculated at the PBE level.

It has space group P2/m (No. 10), with a = 6.724 Å, b = 3.934 Å, c = 6.742 Å, α = 90.00°, β = 108.58° and γ = 90.00°. Symmetry generates all atoms from K at (0.000, 0.000, 0.000), K at (0.000, 0.500, 0.500), Ba at (0.500, 0.000, 0.500), Ac at (0.500, 0.500, 0.000), O at (0.294, 0.000, 0.778) and O at (0.294, 0.500, 0.233).

The calculation puts the volume at 169.0 Å³/cell. The value obtained for the uncorrected formation energy is -2.104 eV per atom.

=====

Record 18
Below is crystalline KBaAcPb at its relaxed geometry, with properties calculated at the PBE level.

It has space group F-43m (No. 216), with a = 8.755 Å, b = 8.755 Å, c = 8.755 Å, α = 90.00°, β = 90.00° and γ = 90.00°. Symmetry generates all atoms from K at (0.000, 0.000, 0.000), Ba at (0.250, 0.250, 0.250), Ac at (0.250, 0.250, 0.750) and Pb at (0.000, 0.000, 0.500).

The calculation puts the total energy at -2.77 eV per atom. The calculation puts the volume at 671.1 Å³/cell.

=====

Record 19
Below is crystalline KBa3Ac2S6 at its relaxed geometry, with properties calculated at the PBE level.

It has space group C2/m (No. 12), with a = 19.396 Å, b = 4.459 Å, c = 8.965 Å, α = 90.00°, β = 103.16° and γ = 90.00°. Symmetry generates all atoms from K at (0.000, 0.000, 0.000), Ba at (0.000, 0.000, 0.500), Ba at (0.161, 0.500, 0.837), Ac at (0.165, 0.500, 0.330), S at (0.009, 0.500, 0.260), S at (0.172, 0.000, 0.103) and S at (0.172, 0.000, 0.573).

The calculation puts the volume at 755.1 Å³/cell. The value obtained for the uncorrected formation energy is -1.981 eV per atom.

=====

Record 20
Below is crystalline KBa4Ac3S8 at its relaxed geometry, with properties calculated at the PBE level.

It has space group R-3m (No. 166, hexagonal axes), with a = 8.8835 Å, b = 8.8835 Å, c = 21.8529 Å, α = 90.00°, β = 90.00° and γ = 120.00°. Symmetry generates all atoms from K at (0.0000, 0.0000, 0.0000), Ba at (0.0000, 0.0000, 0.5000), Ba at (0.0000, 0.5000, 0.5000), Ac at (0.0000, 0.5000, 0.0000), S at (0.0000, 0.0000, 0.2561) and S at (0.0123, 0.5061, 0.2550).

The calculation puts the volume at 1493.5 Å³/cell. The value obtained for the uncorrected formation energy is -2.000 eV per atom.

=====

Record 21
Below is crystalline KBa2AcS4 at its relaxed geometry, with properties calculated at the PBE level.

It has space group P2/m (No. 10), with a = 7.729 Å, b = 4.503 Å, c = 7.770 Å, α = 90.00°, β = 108.69° and γ = 90.00°. Symmetry generates all atoms from K at (0.000, 0.000, 0.000), Ba at (0.500, 0.000, 0.500), Ba at (0.500, 0.500, 0.000), Ac at (0.000, 0.500, 0.500), S at (0.235, 0.000, 0.733) and S at (0.247, 0.500, 0.269).

The calculation puts the volume at 256.2 Å³/cell. The value obtained for the uncorrected formation energy is -1.940 eV per atom.

=====

Record 22
Below is crystalline KBa3Ac2Se6 at its relaxed geometry, with properties calculated at the PBE level.

It has space group C2/m (No. 12), with a = 20.107 Å, b = 4.617 Å, c = 9.290 Å, α = 90.00°, β = 103.11° and γ = 90.00°. Symmetry generates all atoms from K at (0.000, 0.000, 0.000), Ba at (0.000, 0.000, 0.500), Ba at (0.161, 0.500, 0.837), Ac at (0.165, 0.500, 0.330), Se at (0.008, 0.500, 0.259), Se at (0.171, 0.000, 0.101) and Se at (0.171, 0.000, 0.575).

The calculation puts the volume at 840.0 Å³/cell. The value obtained for the uncorrected formation energy is -1.918 eV per atom.

=====

Record 23
Below is crystalline KBa2AcSe4 at its relaxed geometry, with properties calculated at the PBE level.

It has space group P2/m (No. 10), with a = 8.004 Å, b = 4.662 Å, c = 8.062 Å, α = 90.00°, β = 108.72° and γ = 90.00°. Symmetry generates all atoms from K at (0.000, 0.000, 0.000), Ba at (0.500, 0.000, 0.500), Ba at (0.500, 0.500, 0.000), Ac at (0.000, 0.500, 0.500), Se at (0.236, 0.000, 0.735) and Se at (0.246, 0.500, 0.266).

The calculation puts the volume at 284.9 Å³/cell. The value obtained for the uncorrected formation energy is -1.890 eV per atom.